{
  "formula": "CsY3Cd",
  "functional": "meta-GGA SCAN",
  "state": "PBEsol geometry",
  "lattice": [[-1.2390, 2.9961, 4.7969], [-5.6085, -1.2844, -0.6464], [0.7296, -4.7850, 3.1771]],
  "species": ["Y", "Y", "Y", "Cs", "Cd"],
  "frac_coords": [[0.5000, 0.0000, 0.0000], [0.0000, 0.5000, 0.0000], [0.0000, 0.0000, 0.5000], [0.5000, 0.5000, 0.5000], [0.0000, 0.0000, 0.0000]],
  "n_ef_per_ev_atom": 1.13,
  "dft_energy_ev_per_atom": -29.94
}

{
  "formula": "LaYSc2",
  "functional": "meta-GGA SCAN",
  "state": "PBEsol geometry",
  "lattice": [[3.4145, 0.0000, 0.0000], [1.7073, 2.9571, 0.0000], [1.7073, 0.9857, 10.8522]],
  "species": ["Sc", "Y", "La", "Sc"],
  "frac_coords": [[0.2491, 0.2491, 0.2527], [0.5000, 0.5000, 0.5000], [0.0000, 0.0000, 0.0000], [0.7509, 0.7509, 0.7473]],
  "relative_energy_mev_per_atom": 30,
  "n_ef_per_ev_atom": 1.34
}

{
  "formula": "LaInBr2",
  "functional": "meta-GGA SCAN",
  "state": "PBEsol geometry",
  "lattice": [[5.3112, 0.0000, 0.0000], [2.6556, 4.5996, 0.0000], [2.6556, 1.5332, 4.3365]],
  "species": ["Br", "La", "In", "Br"],
  "frac_coords": [[0.2500, 0.2500, 0.2500], [0.5000, 0.5000, 0.5000], [0.0000, 0.0000, 0.0000], [0.7500, 0.7500, 0.7500]],
  "relative_energy_mev_per_atom": 221,
  "n_ef_per_ev_atom": 0.57,
  "raw_formation_energy_ev_per_fu": -4.10
}

{
  "formula": "TaNiGe2",
  "functional": "meta-GGA SCAN",
  "state": "PBEsol geometry",
  "lattice": [[4.3561, 0.0000, 0.0000], [2.1780, 3.7725, 0.0000], [2.1780, 1.2575, 3.5567]],
  "species": ["Ni", "Ge", "Ge", "Ta"],
  "frac_coords": [[0.0000, 0.0000, 0.0000], [0.7500, 0.7500, 0.7500], [0.2500, 0.2500, 0.2500], [0.5000, 0.5000, 0.5000]],
  "n_ef_per_ev_atom": 0.60,
  "dft_energy_ev_per_atom": -30.09
}

{
  "formula": "Ca3OsBr",
  "functional": "meta-GGA SCAN",
  "state": "PBEsol geometry",
  "lattice": [[-3.2954, -2.2836, 3.6376], [4.2597, -2.3245, 2.3996], [0.5497, 4.3230, 3.2118]],
  "species": ["Ca", "Ca", "Os", "Br", "Ca"],
  "frac_coords": [[0.0000, 0.5000, 0.0000], [0.0000, 0.0000, 0.5000], [0.0000, 0.0000, 0.0000], [0.5000, 0.5000, 0.5000], [0.5000, 0.0000, 0.0000]],
  "n_ef_per_ev_atom": 0.72,
  "raw_formation_energy_ev_per_fu": -0.49
}

{
  "formula": "CuTe2Au",
  "functional": "meta-GGA SCAN",
  "state": "PBEsol geometry",
  "lattice": [[-2.8169, 1.9286, 1.8078], [-1.1298, -2.9263, -2.7659], [1.5424, -3.0859, 5.6955]],
  "species": ["Au", "Te", "Cu", "Te"],
  "frac_coords": [[0.0000, 0.0000, 0.5000], [0.8045, 0.6091, 0.7693], [0.5000, 0.0000, 0.0000], [0.1955, 0.3909, 0.2307]],
  "n_ef_per_ev_atom": 0.32,
  "raw_formation_energy_ev_per_fu": -0.26
}

{
  "formula": "KGa2Mo",
  "functional": "meta-GGA SCAN",
  "state": "PBEsol geometry",
  "lattice": [[-1.8879, 4.2713, -1.1746], [-4.2580, 1.3308, 1.8127], [-0.2266, 3.5167, 3.2817]],
  "species": ["Ga", "K", "Mo", "Ga"],
  "frac_coords": [[0.2500, 0.2500, 0.2500], [0.0000, 0.0000, 0.0000], [0.5000, 0.5000, 0.5000], [0.7500, 0.7500, 0.7500]],
  "n_ef_per_ev_atom": 0.59,
  "dft_energy_ev_per_atom": -18.26
}

{
  "formula": "SrAs2Se",
  "functional": "meta-GGA SCAN",
  "state": "PBEsol geometry",
  "lattice": [[-0.5277, -2.8925, 2.4221], [-0.4672, -3.3599, -4.1142], [4.9599, 2.3850, 0.9333]],
  "species": ["Se", "As", "As", "Sr"],
  "frac_coords": [[0.4678, 0.4667, 0.9356], [0.7304, 0.2301, 0.4609], [0.0426, 0.0444, 0.0852], [0.2592, 0.7588, 0.5184]],
  "n_ef_per_ev_atom": 0.52,
  "raw_formation_energy_ev_per_fu": -2.49
}

{
  "formula": "CaScCrPb2",
  "functional": "meta-GGA SCAN",
  "state": "PBEsol geometry",
  "lattice": [[4.9236, 0.0000, 0.0000], [0.0000, 5.5510, 0.0000], [0.0000, 0.0000, 5.5510]],
  "species": ["Cr", "Sc", "Pb", "Ca", "Pb"],
  "frac_coords": [[0.5000, 0.0000, 0.0000], [0.5000, 0.5000, 0.5000], [0.0000, 0.0000, 0.5000], [0.0000, 0.0000, 0.0000], [0.0000, 0.5000, 0.0000]],
  "n_ef_per_ev_atom": 0.73,
  "dft_energy_ev_per_atom": -37.96
}

{
  "formula": "AlTe2Br",
  "functional": "meta-GGA SCAN",
  "state": "PBEsol geometry",
  "lattice": [[4.0537, 0.0000, 0.0000], [-2.0269, 3.3674, 0.0000], [0.0000, 0.0000, 8.1653]],
  "species": ["Br", "Te", "Te", "Al"],
  "frac_coords": [[0.5000, 0.0000, 0.0000], [0.0000, 0.0000, 0.7133], [0.0000, 0.0000, 0.2867], [0.5000, 0.0000, 0.5000]],
  "n_ef_per_ev_atom": 0.39,
  "raw_formation_energy_ev_per_fu": -0.12
}

{
  "formula": "Cu2SiNi",
  "functional": "meta-GGA SCAN",
  "state": "PBEsol geometry",
  "lattice": [[2.5210, 0.0043, 0.0000], [-0.1728, 4.1910, 0.0000], [-1.1741, -2.0977, 4.2567]],
  "species": ["Ni", "Cu", "Cu", "Si"],
  "frac_coords": [[0.5000, 0.0000, 0.0000], [0.0000, 0.0000, 0.5000], [0.5000, 0.5000, 0.5000], [0.0000, 0.5000, 0.0000]],
  "n_ef_per_ev_atom": 0.42,
  "raw_formation_energy_ev_per_fu": -0.41
}

{
  "formula": "SrLi",
  "functional": "meta-GGA SCAN",
  "state": "PBEsol geometry",
  "lattice": [[-1.0511, -0.8578, -3.7759], [-0.0927, -3.9058, 0.9131], [-8.6830, 0.7323, 2.2507]],
  "species": ["Sr", "Sr", "Li", "Li"],
  "frac_coords": [[0.5000, 0.0000, 0.6745], [0.0000, 0.5000, 0.3255], [0.5000, 0.0000, 0.0675], [0.0000, 0.5000, 0.9325]],
  "relative_energy_mev_per_atom": 11,
  "n_ef_per_ev_atom": 0.97
}

{
  "formula": "TiCr3Os",
  "functional": "meta-GGA SCAN",
  "state": "PBEsol geometry",
  "lattice": [[-2.4107, 3.2058, -0.8699], [-1.1074, 0.2377, 3.9449], [3.1317, 2.5518, 0.7253]],
  "species": ["Ti", "Cr", "Cr", "Os", "Cr"],
  "frac_coords": [[0.0000, 0.0000, 0.0000], [0.0000, 0.0000, 0.5000], [0.0000, 0.5000, 0.0000], [0.5000, 0.5000, 0.5000], [0.5000, 0.0000, 0.0000]],
  "n_ef_per_ev_atom": 1.18,
  "dft_energy_ev_per_atom": -26.86
}

{
  "formula": "ReSb2TePd",
  "functional": "meta-GGA SCAN",
  "state": "PBEsol geometry",
  "lattice": [[5.0125, 0.0000, 0.0000], [0.0000, 5.0125, 0.0000], [0.0000, 0.0000, 5.1720]],
  "species": ["Sb", "Sb", "Pd", "Te", "Re"],
  "frac_coords": [[0.5000, 0.0000, 0.0000], [0.0000, 0.5000, 0.0000], [0.0000, 0.0000, 0.0000], [0.0000, 0.0000, 0.5000], [0.5000, 0.5000, 0.5000]],
  "n_ef_per_ev_atom": 0.72,
  "raw_formation_energy_ev_per_fu": 6.85
}

{
  "formula": "LiCd2BiAs",
  "functional": "meta-GGA SCAN",
  "state": "PBEsol geometry",
  "lattice": [[-3.9620, 2.4479, 2.2160], [-3.0271, -4.0753, -0.9104], [1.4979, -2.2715, 5.1873]],
  "species": ["Bi", "As", "Cd", "Cd", "Li"],
  "frac_coords": [[0.0000, 0.0000, 0.5000], [0.0000, 0.0000, 0.0000], [0.0000, 0.5000, 0.0000], [0.5000, 0.0000, 0.0000], [0.5000, 0.5000, 0.5000]],
  "n_ef_per_ev_atom": 0.65,
  "dft_energy_ev_per_atom": -32.09
}

{
  "formula": "AlSbBr2",
  "functional": "meta-GGA SCAN",
  "state": "PBEsol geometry",
  "lattice": [[3.4162, 0.0000, 0.0000], [0.0000, 5.3882, 0.0761], [0.0000, -0.0823, 5.3881]],
  "species": ["Br", "Br", "Al", "Sb"],
  "frac_coords": [[0.0000, 0.0000, 0.5000], [0.0000, 0.5000, 0.0000], [0.5000, 0.5000, 0.5000], [0.5000, 0.0000, 0.0000]],
  "relative_energy_mev_per_atom": 286,
  "n_ef_per_ev_atom": 0.42,
  "raw_formation_energy_ev_per_fu": 0.84
}

{
  "formula": "KScCd2",
  "functional": "meta-GGA SCAN",
  "state": "PBEsol geometry",
  "lattice": [[5.2552, 0.0000, 0.0000], [2.6276, 4.5511, 0.0000], [2.6276, 1.5170, 4.2909]],
  "species": ["Sc", "K", "Cd", "Cd"],
  "frac_coords": [[0.5000, 0.5000, 0.5000], [0.0000, 0.0000, 0.0000], [0.7500, 0.7500, 0.7500], [0.2500, 0.2500, 0.2500]],
  "relative_energy_mev_per_atom": 147,
  "n_ef_per_ev_atom": 0.79
}

{
  "formula": "FeNi",
  "functional": "meta-GGA SCAN",
  "state": "PBEsol geometry",
  "lattice": [[-3.1164, 0.0516, 1.7787], [-0.7774, -2.6128, 2.3339], [-0.0453, 0.6939, 3.5206]],
  "species": ["Ni", "Fe"],
  "frac_coords": [[0.2500, 0.2500, 0.2500], [0.0000, 0.0000, 0.0000]],
  "n_ef_per_ev_atom": 0.52,
  "dft_energy_ev_per_atom": -15.96
}

{
  "formula": "ZrSc2In",
  "functional": "meta-GGA SCAN",
  "state": "PBEsol geometry",
  "lattice": [[-1.9404, -0.5668, -2.4626], [1.1768, -4.1599, 0.0302], [-4.7538, -1.3154, 4.0487]],
  "species": ["Zr", "Sc", "In", "Sc"],
  "frac_coords": [[0.5000, 0.5000, 0.0000], [0.0000, 0.0000, 0.2464], [0.5000, 0.5000, 0.5000], [0.0000, 0.0000, 0.7536]],
  "n_ef_per_ev_atom": 1.05,
  "dft_energy_ev_per_atom": -23.41
}

{
  "formula": "CuIr3",
  "functional": "meta-GGA SCAN",
  "state": "PBEsol geometry",
  "lattice": [[2.7087, 0.0000, 0.0000], [0.0000, 2.7087, 0.0000], [0.0000, 0.0000, 7.3398]],
  "species": ["Cu", "Ir", "Ir", "Ir"],
  "frac_coords": [[0.0000, 0.0000, 0.0000], [0.0000, 0.0000, 0.5000], [0.5000, 0.5000, 0.7541], [0.5000, 0.5000, 0.2459]],
  "n_ef_per_ev_atom": 0.68,
  "dft_energy_ev_per_atom": -57.06
}

{
  "formula": "LaBeIr",
  "functional": "meta-GGA SCAN",
  "state": "PBEsol geometry",
  "lattice": [[-3.2307, -1.5966, -1.6465], [1.1491, -1.1390, 3.6166], [-2.3580, 3.0183, 1.6998]],
  "species": ["Ir", "Be", "La"],
  "frac_coords": [[0.3333, 0.6667, 0.0000], [0.0000, 0.0000, 0.0000], [0.6667, 0.3333, 0.5000]],
  "n_ef_per_ev_atom": 0.26,
  "dft_energy_ev_per_atom": -40.22
}

{
  "formula": "BaMnAl2",
  "functional": "meta-GGA SCAN",
  "state": "PBEsol geometry",
  "lattice": [[-0.1643, 2.6365, 1.6850], [-3.9889, -0.8792, 0.9866], [2.1624, -3.4726, 5.6486]],
  "species": ["Ba", "Al", "Mn", "Al"],
  "frac_coords": [[0.3750, 0.0000, 0.4853], [0.8749, 0.5000, 0.1820], [0.3752, 0.5000, 0.8911], [0.8749, 0.0000, 0.9416]],
  "n_ef_per_ev_atom": 0.50,
  "dft_energy_ev_per_atom": -18.35
}

{
  "formula": "TlOsPt2F",
  "functional": "meta-GGA SCAN",
  "state": "PBEsol geometry",
  "lattice": [[4.2210, 0.0000, 0.0000], [0.0000, 4.2210, 0.0000], [0.0000, 0.0000, 4.5632]],
  "species": ["Pt", "Os", "Pt", "F", "Tl"],
  "frac_coords": [[0.5000, 0.0000, 0.0000], [0.5000, 0.5000, 0.5000], [0.0000, 0.5000, 0.0000], [0.0000, 0.0000, 0.0000], [0.0000, 0.0000, 0.5000]],
  "n_ef_per_ev_atom": 0.71,
  "raw_formation_energy_ev_per_fu": 5.72
}

{
  "formula": "ZrCoRh",
  "functional": "meta-GGA SCAN",
  "state": "PBEsol geometry",
  "lattice": [[4.2139, 0.0000, 0.0000], [2.1069, 3.6493, 0.0000], [2.1069, 1.2164, 3.4406]],
  "species": ["Zr", "Co", "Rh"],
  "frac_coords": [[0.0000, 0.0000, 0.0000], [0.5000, 0.5000, 0.5000], [0.2500, 0.2500, 0.2500]],
  "n_ef_per_ev_atom": 1.04,
  "dft_energy_ev_per_atom": -27.32
}

{
  "formula": "AlTl2Os",
  "functional": "meta-GGA SCAN",
  "state": "PBEsol geometry",
  "lattice": [[-1.5164, -2.4802, 0.6609], [1.5014, 1.1278, 2.3155], [-8.1446, 5.6530, 2.5277]],
  "species": ["Tl", "Tl", "Al", "Os"],
  "frac_coords": [[0.0000, 0.0000, 0.0449], [0.5000, 0.5000, 0.7203], [0.0000, 0.0000, 0.4554], [0.5000, 0.5000, 0.2794]],
  "relative_energy_mev_per_atom": 0,
  "n_ef_per_ev_atom": 0.38
}

{
  "formula": "ScTaHg",
  "functional": "meta-GGA SCAN",
  "state": "PBEsol geometry",
  "lattice": [[-1.3963, -2.6429, 0.3372], [1.7617, -1.4678, -4.2089], [2.4642, -0.7871, 4.0349]],
  "species": ["Hg", "Ta", "Sc"],
  "frac_coords": [[0.5000, 0.0000, 0.0000], [0.5000, 0.3333, 0.6667], [0.0000, 0.6667, 0.3333]],
  "n_ef_per_ev_atom": 1.34,
  "dft_energy_ev_per_atom": -49.47
}

{
  "formula": "Li2Mn3SbO8",
  "functional": "meta-GGA SCAN",
  "state": "PBEsol geometry",
  "lattice": [[5.6860, 0.0000, 0.0000], [2.8430, 4.9242, 0.0000], [2.8430, 1.6414, 5.0258]],
  "species": ["O", "O", "O", "Li", "Sb", "Mn", "Mn", "Mn", "O", "O", "O", "O", "Li", "O"],
  "frac_coords": [[0.2533, 0.2533, 0.7757], [0.7350, 0.7350, 0.7951], [0.2650, 0.2650, 0.2049], [0.8730, 0.8730, 0.3808], [0.5000, 0.5000, 0.5000], [0.5000, 0.5000, 0.0000], [0.0000, 0.5000, 0.0000], [0.5000, 0.0000, 0.0000], [0.7467, 0.2822, 0.2243], [0.7467, 0.7467, 0.2243], [0.7178, 0.2533, 0.7757], [0.2822, 0.7467, 0.2243], [0.1270, 0.1270, 0.6192], [0.2533, 0.7178, 0.7757]],
  "relative_energy_mev_per_atom": 95,
  "n_ef_per_ev_atom": 0.01,
  "raw_formation_energy_ev_per_fu": -28.08
}

{
  "formula": "SmSbIr",
  "functional": "meta-GGA SCAN",
  "state": "PBEsol geometry",
  "lattice": [[-3.3092, 3.0802, -0.1306], [-0.4431, -0.1710, 7.1964], [5.3417, 5.7584, 0.4657]],
  "species": ["Sm", "Sm", "Sb", "Ir", "Sm", "Sb", "Ir", "Sb", "Ir", "Sb", "Sm", "Ir"],
  "frac_coords": [[0.2500, 0.0122, 0.6925], [0.7500, 0.9878, 0.3075], [0.2500, 0.1773, 0.0870], [0.7500, 0.7052, 0.5891], [0.2500, 0.5122, 0.8075], [0.7500, 0.3227, 0.5870], [0.7500, 0.2052, 0.9109], [0.2500, 0.6773, 0.4130], [0.2500, 0.7948, 0.0891], [0.7500, 0.8227, 0.9130], [0.7500, 0.4878, 0.1925], [0.2500, 0.2948, 0.4109]],
  "n_ef_per_ev_atom": 0.46,
  "raw_formation_energy_ev_per_fu": -3.23
}

{
  "formula": "LiCdAuBr2",
  "functional": "meta-GGA SCAN",
  "state": "PBEsol geometry",
  "lattice": [[-2.1339, -1.0932, -4.6937], [4.9650, -0.6475, -2.1064], [-0.1397, -5.2744, 1.2920]],
  "species": ["Br", "Br", "Au", "Cd", "Li"],
  "frac_coords": [[0.0000, 0.0000, 0.5000], [0.0000, 0.5000, 0.0000], [0.5000, 0.0000, 0.0000], [0.0000, 0.0000, 0.0000], [0.5000, 0.5000, 0.5000]],
  "n_ef_per_ev_atom": 0.05,
  "raw_formation_energy_ev_per_fu": -2.16
}